A plane-wave DFT calculation with GGA-PBE was carried out for an optimized crystal structure of CuAgSb2S4.

Unit cell a=8.037 b=10.466 c=8.405 alpha=90.00 beta=90.00 gamma=90.00
Space group Fmm2 (No. 42)
Unique sites:
Cu 0.000 0.000 0.000 x4
Ag 0.000 0.000 0.491 x4
Sb 0.250 0.250 0.300 x8
S 0.000 0.223 0.102 x8
S 0.229 0.000 0.840 x8

## Properties
Formation energy without anion corrections in kJ/mol of formula units: -83
Spin magnetization in Bohr magnetons per cell: 0.00
Raw total energy in eV/atom: -4.071